Entry 1:
Material: Mg5Sc4
Method: DFT, meta-GGA SCAN
State: single point on PBEsol structure

Cell lengths 8.803, 8.803, 6.108 Å; angles 90.00, 90.00, 120.00 degrees
Positions (direct):
Mg (0.000, 0.339, 0.250)
Mg (0.000, 0.661, 0.750)
Mg (0.333, 0.667, 0.000)
Mg (0.333, 0.667, 0.500)
Mg (0.339, 0.000, 0.250)
Mg (0.339, 0.339, 0.750)
Mg (0.661, 0.000, 0.750)
Mg (0.661, 0.661, 0.250)
Mg (0.667, 0.333, 0.000)
Mg (0.667, 0.333, 0.500)
Sc (0.000, 0.000, 0.000)
Sc (0.000, 0.000, 0.500)
Sc (0.000, 0.324, 0.750)
Sc (0.000, 0.676, 0.250)
Sc (0.324, 0.000, 0.750)
Sc (0.324, 0.324, 0.250)
Sc (0.676, 0.000, 0.250)
Sc (0.676, 0.676, 0.750)

Computed properties:
Space group ... No. 193
Energy ... -9.06 eV/atom
N(E_F) ... 1.057 states/eV per atom
E_form ... 0.033 eV per atom



Entry 2:
Material: Na5Bi2AsC4O16
Method: DFT, meta-GGA SCAN
State: single point on PBEsol structure

Cell lengths 10.446, 10.349, 10.251 Å; angles 60.94, 59.99, 59.07 degrees
Positions (direct):
Na (0.198, 0.198, 0.802)
Na (0.198, 0.802, 0.198)
Na (0.199, 0.801, 0.801)
Na (0.552, 0.948, 0.948)
Na (0.555, 0.945, 0.555)
Na (0.801, 0.199, 0.199)
Na (0.802, 0.198, 0.802)
Na (0.802, 0.802, 0.198)
Na (0.945, 0.555, 0.945)
Na (0.948, 0.552, 0.552)
Bi (0.363, 0.876, 0.384)
Bi (0.376, 0.384, 0.876)
Bi (0.384, 0.376, 0.363)
Bi (0.876, 0.363, 0.376)
As (0.000, 0.000, 0.000)
As (0.750, 0.750, 0.750)
C (0.134, 0.540, 0.164)
C (0.162, 0.164, 0.540)
C (0.164, 0.162, 0.134)
C (0.222, 0.587, 0.601)
C (0.540, 0.134, 0.162)
C (0.587, 0.222, 0.590)
C (0.590, 0.601, 0.587)
C (0.601, 0.590, 0.222)
O (0.005, 0.537, 0.286)
O (0.032, 0.174, 0.542)
O (0.032, 0.282, 0.142)
O (0.142, 0.543, 0.032)
O (0.171, 0.286, 0.537)
O (0.174, 0.032, 0.251)
O (0.203, 0.932, 0.932)
O (0.219, 0.466, 0.729)
O (0.223, 0.581, 0.476)
O (0.224, 0.711, 0.598)
O (0.251, 0.542, 0.174)
O (0.282, 0.032, 0.543)
O (0.286, 0.171, 0.005)
O (0.466, 0.219, 0.586)
O (0.466, 0.598, 0.711)
O (0.476, 0.720, 0.223)
O (0.537, 0.005, 0.171)
O (0.542, 0.251, 0.032)
O (0.543, 0.142, 0.282)
O (0.546, 0.834, 0.811)
O (0.581, 0.223, 0.720)
O (0.586, 0.729, 0.466)
O (0.598, 0.466, 0.224)
O (0.711, 0.224, 0.466)
O (0.720, 0.476, 0.581)
O (0.729, 0.586, 0.219)
O (0.809, 0.811, 0.834)
O (0.811, 0.809, 0.546)
O (0.834, 0.546, 0.809)
O (0.932, 0.203, 0.933)
O (0.932, 0.933, 0.203)
O (0.933, 0.932, 0.932)

Computed properties:
Raw formation energy ... -1.5398 eV/atom
Space group ... No. 22
Energy ... -13.63 eV/atom



> energy of number 2 (Na5Bi2AsC4O16)?

-13.63 eV/atom



> Which formula does entry 1 have?

Mg5Sc4



> The lowest energy belongs to which entry?

Na5Bi2AsC4O16



What did the first record say?
Material: Mg5Sc4
Method: DFT, meta-GGA SCAN
State: single point on PBEsol structure

Cell lengths 8.803, 8.803, 6.108 Å; angles 90.00, 90.00, 120.00 degrees
Positions (direct):
Mg (0.000, 0.339, 0.250)
Mg (0.000, 0.661, 0.750)
Mg (0.333, 0.667, 0.000)
Mg (0.333, 0.667, 0.500)
Mg (0.339, 0.000, 0.250)
Mg (0.339, 0.339, 0.750)
Mg (0.661, 0.000, 0.750)
Mg (0.661, 0.661, 0.250)
Mg (0.667, 0.333, 0.000)
Mg (0.667, 0.333, 0.500)
Sc (0.000, 0.000, 0.000)
Sc (0.000, 0.000, 0.500)
Sc (0.000, 0.324, 0.750)
Sc (0.000, 0.676, 0.250)
Sc (0.324, 0.000, 0.750)
Sc (0.324, 0.324, 0.250)
Sc (0.676, 0.000, 0.250)
Sc (0.676, 0.676, 0.750)

Computed properties:
Space group ... No. 193
Energy ... -9.06 eV/atom
N(E_F) ... 1.057 states/eV per atom
E_form ... 0.033 eV per atom